a.
PBE-GGA KBePb3, relaxed; total magnetization = 0.00 Bohr magnetons per cell; space-group type = Pm-3m
1.0
6.038 0.000 0.000
0.000 6.038 0.000
0.000 0.000 6.038
K Be Pb
1 1 3
Direct
0.000 0.000 0.000
0.500 0.500 0.500
0.000 0.000 0.500
0.000 0.500 0.000
0.500 0.000 0.000

b.
PBE-GGA KBePb3, relaxed; total magnetization = 0.00 Bohr magnetons per cell; space-group type = Pm-3m
1.0
5.330 0.000 0.000
0.000 5.330 0.000
0.000 0.000 5.330
K Be Pb
1 1 3
Direct
0.000 0.000 0.000
0.500 0.500 0.500
0.000 0.500 0.500
0.500 0.000 0.500
0.500 0.500 0.000

Name the most stable of them. b.

a.
PBE-GGA KBePt, relaxed; total magnetization = 0.00 Bohr magnetons per cell; space-group type = P-6m2
1.0
3.813 0.000 0.000
-1.906 3.302 0.000
0.000 0.000 5.361
K Be Pt
1 1 1
Direct
0.000 0.000 0.000
0.333 0.667 0.500
0.667 0.333 0.500

b.
PBE-GGA KBePt, relaxed; total magnetization = 0.00 Bohr magnetons per cell; space-group type = F-43m
1.0
0.000 3.393 3.393
3.393 0.000 3.393
3.393 3.393 0.000
K Be Pt
1 1 1
Direct
0.000 0.000 0.000
0.250 0.250 0.250
0.750 0.750 0.750

c.
PBE-GGA KBePt, relaxed; total magnetization = 0.00 Bohr magnetons per cell; space-group type = F-43m
1.0
0.000 3.150 3.150
3.150 0.000 3.150
3.150 3.150 0.000
K Be Pt
1 1 1
Direct
0.000 0.000 0.000
0.250 0.250 0.250
0.500 0.500 0.500

d.
PBE-GGA KBePt, relaxed; total magnetization = 0.00 Bohr magnetons per cell; space-group type = Imm2
1.0
-1.441 1.791 5.865
1.441 -1.791 5.865
1.441 1.791 -5.865
K Be Pt
1 1 1
Direct
0.000 0.000 0.000
0.254 0.254 0.000
0.731 0.731 0.000

Name the most stable of them. d.

a.
PBE-GGA KBePt3, relaxed; total magnetization = 0.00 Bohr magnetons per cell; space-group type = Pm-3m
1.0
4.430 0.000 0.000
0.000 4.430 0.000
0.000 0.000 4.430
K Be Pt
1 1 3
Direct
0.000 0.000 0.000
0.500 0.500 0.500
0.000 0.500 0.500
0.500 0.000 0.500
0.500 0.500 0.000

b.
PBE-GGA KBePt3, relaxed; total magnetization = 0.00 Bohr magnetons per cell; space-group type = Pm-3m
1.0
4.927 0.000 0.000
0.000 4.927 0.000
0.000 0.000 4.927
K Be Pt
1 1 3
Direct
0.000 0.000 0.000
0.500 0.500 0.500
0.000 0.000 0.500
0.000 0.500 0.000
0.500 0.000 0.000

Name the most stable of them. a.